1.
## PrCdTe2O8 (PBE)

Data for crystalline PrCdTe2O8 at its relaxed geometry.

Lattice parameters (Å, degrees): 6.356 6.356 6.356 107.07 107.07 114.38
Sites, in units of the cell vectors:
1 Pr 0.000 0.000 0.000
2 Cd 0.250 0.750 0.500
3 Te 0.500 0.500 0.000
4 Te 0.750 0.250 0.500
5 O 0.314 0.129 0.815
6 O 0.314 0.499 0.185
7 O 0.382 0.067 0.315
8 O 0.501 0.686 0.815
9 O 0.752 0.067 0.685
10 O 0.871 0.686 0.185
11 O 0.933 0.248 0.315
12 O 0.933 0.618 0.685

**E**: -5.6825 eV/atom

2.
## Pa2GeHRu6 (PBE)

Data for crystalline Pa2GeHRu6 at its relaxed geometry.

Lattice parameters (Å, degrees): 4.406 4.406 8.264 90.00 90.00 90.00
Sites, in units of the cell vectors:
1 Pa 0.000 0.000 0.237
2 Pa 0.000 0.000 0.763
3 Ge 0.500 0.500 0.500
4 H 0.500 0.500 0.000
5 Ru 0.000 0.500 0.000
6 Ru 0.000 0.500 0.500
7 Ru 0.500 0.000 0.000
8 Ru 0.500 0.000 0.500
9 Ru 0.500 0.500 0.218
10 Ru 0.500 0.500 0.782

**E**: -8.3421 eV/atom